Computed, not measured: an optimized crystal structure of KCuNiTe3 at the PBE level of DFT.

The structure belongs to space group Cmcm (No. 63); the cell edges are 3.869, 15.252 and 10.632 Å and the angles 90.00°, 90.00° and 90.00°. The distinct sites, in fractional coordinates, are K at (0.000, 0.239, 0.250), Cu at (0.000, 0.451, 0.750), Ni at (0.000, 0.000, 0.000), Te at (0.000, 0.062, 0.750) and Te at (0.000, 0.386, 0.526).

The calculation puts the total energy at -3.60 eV/atom.